No. 1
Na2BeAlTl after structural relaxation. Source: Alexandria, functional PBEsol.

Geometry as POSCAR:
```
Na2BeAlTl
1.0
5.785 0.000 0.000
0.000 5.785 0.000
0.000 0.000 5.060
Na Be Al Tl
2 1 1 1
Direct
0.000 0.500 0.000
0.500 0.000 0.000
0.000 0.000 0.500
0.500 0.500 0.000
0.500 0.500 0.500
```

Calculated values
* uncorrected energy: -1.795 eV/atom

***

No. 2
BeNbAl3 after structural relaxation. Source: Alexandria, functional PBEsol.

Geometry as POSCAR:
```
BeNbAl3
1.0
4.910 0.000 0.000
0.000 4.910 0.000
0.000 0.000 4.910
Be Nb Al
1 1 3
Direct
0.000 0.000 0.000
0.500 0.500 0.500
0.000 0.500 0.500
0.500 0.000 0.500
0.500 0.500 0.000
```

Calculated values
* uncorrected energy: -4.075 eV/atom

***

No. 3
Be3AlNi after structural relaxation. Source: Alexandria, functional PBEsol.

Geometry as POSCAR:
```
Be3AlNi
1.0
3.931 0.000 0.000
0.000 3.931 0.000
0.000 0.000 3.931
Be Al Ni
3 1 1
Direct
0.000 0.000 0.500
0.000 0.500 0.000
0.500 0.000 0.000
0.500 0.500 0.500
0.000 0.000 0.000
```

Calculated values
* uncorrected energy: -4.050 eV/atom